[1]
Entry from the Alexandria database: LiNpSbPt after structural relaxation (GGA-PBE).

Cell lengths 4.8325, 4.8325, 4.8325 Å; angles 60.00, 60.00, 60.00 degrees
Last column: nearest neighbours and their distance in Å.
Positions (direct):
Np 0.2500 0.2500 0.2500  4 Li 2.96, 4 Pt 2.96
Pt 0.0000 0.0000 0.0000  4 Sb 2.96, 4 Np 2.96
Sb 0.7500 0.7500 0.7500  4 Pt 2.96, 4 Li 2.96
Li 0.5000 0.5000 0.5000  4 Np 2.96, 4 Sb 2.96

Density of states at the Fermi level ... 7.31 states/eV/cell
Formation energy (no corrections) ... -0.36 eV per atom
Magnetic moment ... 4.33 Bohr magnetons per cell
SG ... F-43m, No. 216
Raw total energy ... -6.616 eV per atom

---

[2]
Entry from the Alexandria database: AlPdBr2 after structural relaxation (GGA-PBE).

Cell lengths 5.0394, 5.0394, 8.6697 Å; angles 73.10, 73.10, 90.00 degrees
Last column: nearest neighbours and their distance in Å.
Positions (direct):
Br 0.6187 0.1250 0.2500  2 Al 2.65, 2 Pd 2.68
Br 0.1313 0.6250 0.2500  2 Al 2.65, 2 Pd 2.68
Br 0.8750 0.8687 0.7500  2 Al 2.65, 2 Pd 2.68
Br 0.3750 0.3813 0.7500  2 Al 2.65, 2 Pd 2.68
Al 0.2500 0.7500 0.5000  4 Br 2.65
Al 0.5000 0.5000 0.0000  4 Br 2.65
Pd 0.7500 0.2500 0.5000  4 Br 2.68
Pd 0.0000 0.0000 0.0000  4 Br 2.68

Polymorph energy (0 for the lowest one) ... 0.000 eV/atom
Density of states at the Fermi level ... 0.94 states/eV/cell
Formation energy (no corrections) ... -0.01 eV per atom
Magnetic moment ... 0.00 Bohr magnetons per cell
SG ... I-42d, No. 122
Raw total energy ... -3.085 eV per atom

---

[3]
Entry from the Alexandria database: Pm2ErZn2Sn2 after structural relaxation (GGA-PBE).

Cell lengths 4.6785, 4.6785, 9.7556 Å; angles 76.13, 76.13, 60.00 degrees
Last column: nearest neighbours and their distance in Å.
Positions (direct):
Sn 0.2709 0.2709 0.1872  3 Zn 2.74
Sn 0.7291 0.7291 0.8128  3 Zn 2.74
Zn 0.5874 0.5874 0.2379  3 Sn 2.74, 3 Pm 3.04
Zn 0.4126 0.4126 0.7621  3 Sn 2.74, 3 Pm 3.04
Pm 0.8710 0.8710 0.3871  3 Zn 3.04, 3 Sn 3.29
Pm 0.1290 0.1290 0.6129  3 Zn 3.04, 3 Sn 3.29
Er 0.0000 0.0000 0.0000  6 Sn 3.22, 6 Zn 3.50

Energy of formation ... -0.3424 eV per atom
Density of states at the Fermi level ... 6.86 states/eV/cell
Magnetic moment ... 0.00 Bohr magnetons per cell
SG ... R-3m, No. 166
Raw total energy ... -3.859 eV per atom

---

[4]
Entry from the Alexandria database: Sm4HgTe2Rh after structural relaxation (GGA-PBE).

Cell lengths 4.2389, 7.4307, 7.8983 Å; angles 107.56, 90.00, 90.00 degrees
Last column: nearest neighbours and their distance in Å.
Positions (direct):
Sm 0.5000 0.7320 0.7707  1 Rh 2.85, 2 Hg 3.09, 2 Te 3.13
Sm 0.5000 0.2680 0.2293  1 Rh 2.85, 2 Hg 3.09, 2 Te 3.13
Sm 0.0000 0.2745 0.7821  2 Rh 2.92, 1 Hg 3.04, 1 Te 3.17
Sm 0.0000 0.7255 0.2179  2 Rh 2.92, 1 Hg 3.04, 1 Te 3.17
Te 0.5000 0.0000 0.5000  6 Sm 3.30-3.33
Te 0.0000 0.5000 0.5000  6 Sm 3.13-3.17
Hg 0.0000 0.0000 0.0000  6 Sm 3.04-3.09
Rh 0.5000 0.5000 0.0000  6 Sm 2.85-2.92

Density of states at the Fermi level ... 5.16 states/eV/cell
Formation energy (no corrections) ... -0.93 eV per atom
Magnetic moment ... 0.00 Bohr magnetons per cell
SG ... P2/m, No. 10
Raw total energy ... -5.035 eV per atom

---

[5]
Entry from the Alexandria database: Tb3GaPb2 after structural relaxation (GGA-PBE).

Cell lengths 4.4645, 12.0276, 12.5241 Å; angles 90.00, 90.00, 90.00 degrees
Last column: nearest neighbours and their distance in Å.
Positions (direct):
Tb 0.7500 0.9485 0.1221  3 Ga 3.14-3.25, 5 Pb 3.21-3.39
Tb 0.2500 0.3788 0.0550  1 Ga 3.10, 5 Pb 3.12-3.35
Tb 0.2500 0.1212 0.5550  1 Ga 3.10, 5 Pb 3.12-3.35
Tb 0.7500 0.5515 0.6221  3 Ga 3.14-3.25, 5 Pb 3.21-3.39
Tb 0.2500 0.7108 0.2330  2 Ga 3.00, 1 Pb 3.07
Tb 0.2500 0.0515 0.8779  3 Ga 3.14-3.25, 5 Pb 3.21-3.39
Tb 0.7500 0.2892 0.7670  2 Ga 3.00, 1 Pb 3.07
Tb 0.7500 0.2108 0.2670  2 Ga 3.00, 1 Pb 3.07
Tb 0.2500 0.7892 0.7330  2 Ga 3.00, 1 Pb 3.07
Tb 0.7500 0.8788 0.4450  1 Ga 3.10, 5 Pb 3.12-3.35
Tb 0.2500 0.4485 0.3779  3 Ga 3.14-3.25, 5 Pb 3.21-3.39
Tb 0.7500 0.6212 0.9450  1 Ga 3.10, 5 Pb 3.12-3.35
Ga 0.7500 0.6321 0.3740  3 Pb 2.86-2.88, 5 Tb 3.00-3.14
Ga 0.2500 0.1321 0.1260  3 Pb 2.86-2.88, 5 Tb 3.00-3.14
Ga 0.2500 0.3679 0.6260  3 Pb 2.86-2.88, 5 Tb 3.00-3.14
Ga 0.7500 0.8679 0.8740  3 Pb 2.86-2.88, 5 Tb 3.00-3.14
Pb 0.7500 0.0011 0.6852  1 Ga 2.86, 2 Tb 3.12
Pb 0.7500 0.1980 0.9959  2 Ga 2.88, 5 Tb 3.07-3.21
Pb 0.7500 0.3020 0.4959  2 Ga 2.88, 5 Tb 3.07-3.21
Pb 0.7500 0.4989 0.1852  1 Ga 2.86, 2 Tb 3.12
Pb 0.2500 0.5011 0.8148  1 Ga 2.86, 2 Tb 3.12
Pb 0.2500 0.6980 0.5041  2 Ga 2.88, 5 Tb 3.07-3.21
Pb 0.2500 0.9989 0.3148  1 Ga 2.86, 2 Tb 3.12
Pb 0.2500 0.8020 0.0041  2 Ga 2.88, 5 Tb 3.07-3.21

Energy of formation ... -0.4836 eV per atom
Density of states at the Fermi level ... 15.15 states/eV/cell
Magnetic moment ... 0.00 Bohr magnetons per cell
SG ... Pnma, No. 62
Raw total energy ... -4.539 eV per atom

---

[6]
Entry from the Alexandria database: AlSiSn2 after structural relaxation (GGA-PBE).

Cell lengths 6.2484, 6.2484, 7.4633 Å; angles 65.25, 65.25, 90.00 degrees
Last column: nearest neighbours and their distance in Å.
Positions (direct):
Sn 0.6372 0.1250 0.2500  2 Si 2.63, 2 Al 2.72
Sn 0.1128 0.6250 0.2500  2 Si 2.63, 2 Al 2.72
Sn 0.3750 0.3628 0.7500  2 Si 2.63, 2 Al 2.72
Sn 0.8750 0.8872 0.7500  2 Si 2.63, 2 Al 2.72
Si 0.7500 0.2500 0.5000  4 Sn 2.63
Si 0.0000 0.0000 0.0000  4 Sn 2.63
Al 0.5000 0.5000 0.0000  4 Sn 2.72
Al 0.2500 0.7500 0.5000  4 Sn 2.72

Polymorph energy (0 for the lowest one) ... 0.000 eV/atom
Density of states at the Fermi level ... 3.90 states/eV/cell
Formation energy (no corrections) ... 0.23 eV per atom
Magnetic moment ... 0.00 Bohr magnetons per cell
SG ... I-42d, No. 122
Raw total energy ... -4.066 eV per atom

---

[7]
Entry from the Alexandria database: Na2SnO2 after structural relaxation (GGA-PBE).

Cell lengths 5.2567, 6.7013, 9.7596 Å; angles 90.00, 90.00, 90.00 degrees
Last column: nearest neighbours and their distance in Å.
Positions (direct):
Sn 0.5174 0.8982 0.9289  3 O 2.04-2.13
Sn 0.4826 0.3982 0.5711  3 O 2.04-2.13
Sn 0.9826 0.1018 0.4289  3 O 2.04-2.13
Sn 0.0174 0.6018 0.0711  3 O 2.04-2.13
Na 0.5082 0.3769 0.9232  3 O 2.34-2.58
Na 0.9897 0.6310 0.7413  3 O 2.35-2.46
Na 0.0082 0.1231 0.0768  3 O 2.34-2.58
Na 0.0103 0.1310 0.7587  3 O 2.35-2.46
Na 0.4918 0.8769 0.5768  3 O 2.34-2.58
Na 0.5103 0.3690 0.2413  3 O 2.35-2.46
Na 0.4897 0.8690 0.2587  3 O 2.35-2.46
Na 0.9918 0.6231 0.4232  3 O 2.34-2.58
O 0.9985 0.3925 0.9198  1 Sn 2.04
O 0.0851 0.3420 0.5564  2 Sn 2.10-2.13, 1 Na 2.34
O 0.0015 0.8925 0.5802  1 Sn 2.04
O 0.5015 0.6075 0.4198  1 Sn 2.04
O 0.4985 0.1075 0.0802  1 Sn 2.04
O 0.5851 0.1580 0.4436  2 Sn 2.10-2.13, 1 Na 2.34
O 0.9149 0.8420 0.9436  2 Sn 2.10-2.13, 1 Na 2.34
O 0.4149 0.6580 0.0564  2 Sn 2.10-2.13, 1 Na 2.34

Polymorph energy (0 for the lowest one) ... 0.037 eV/atom
Density of states at the Fermi level ... 0.00 states/eV/cell
Formation energy (no corrections) ... -1.42 eV per atom
Magnetic moment ... 0.00 Bohr magnetons per cell
SG ... P2_12_12_1, No. 19
Raw total energy ... -4.727 eV per atom

---

[8]
Entry from the Alexandria database: La2UOs2 after structural relaxation (GGA-PBE).

Cell lengths 5.9031, 5.9031, 8.0530 Å; angles 82.75, 82.75, 62.67 degrees
Last column: nearest neighbours and their distance in Å.
Positions (direct):
Os 0.2508 0.0001 0.4937  2 U 2.49-2.74
Os 0.9999 0.7492 0.0063  2 U 2.49-2.74
Os 0.7492 0.9999 0.5063  2 U 2.49-2.74
Os 0.0001 0.2508 0.9937  2 U 2.49-2.74
U 0.1284 0.8716 0.2500  4 Os 2.49-2.74
U 0.8716 0.1284 0.7500  4 Os 2.49-2.74
La 0.5256 0.7733 0.8494  6 Os 3.15-3.31, 1 U 3.51
La 0.7733 0.5256 0.3494  6 Os 3.15-3.31, 1 U 3.51
La 0.4744 0.2267 0.1506  6 Os 3.15-3.31, 1 U 3.51
La 0.2267 0.4744 0.6506  6 Os 3.15-3.31, 1 U 3.51

Energy of formation ... -0.1271 eV per atom
Density of states at the Fermi level ... 17.26 states/eV/cell
Magnetic moment ... 2.02 Bohr magnetons per cell
SG ... C2/c, No. 15
Raw total energy ... -8.848 eV per atom

---

[9]
Entry from the Alexandria database: MgSc2AsPb after structural relaxation (GGA-PBE).

Cell lengths 5.0834, 4.9075, 5.0834 Å; angles 90.00, 90.00, 90.00 degrees
Last column: nearest neighbours and their distance in Å.
Positions (direct):
Sc 0.5000 0.0000 0.0000  2 As 2.54
Sc 0.0000 0.0000 0.5000  2 As 2.54
Pb 0.5000 0.5000 0.5000  8 Sc 3.53, 4 Mg 3.59
Mg 0.0000 0.5000 0.0000  2 As 2.45
As 0.0000 0.0000 0.0000  2 Mg 2.45, 4 Sc 2.54

Energy of formation ... -0.4177 eV per atom
Density of states at the Fermi level ... 3.34 states/eV/cell
Magnetic moment ... 0.00 Bohr magnetons per cell
SG ... P4/mmm, No. 123
Raw total energy ... -4.941 eV per atom

---

[10]
Entry from the Alexandria database: Pm3ThCd4 after structural relaxation (GGA-PBE).

Cell lengths 5.4132, 7.6880, 10.8260 Å; angles 90.00, 90.00, 90.00 degrees
Last column: nearest neighbours and their distance in Å.
Positions (direct):
Pm 0.4975 0.5000 0.7500  8 Cd 3.33
Pm 0.5025 0.0000 0.2500  8 Cd 3.31
Pm 0.4975 0.0000 0.7500  8 Cd 3.31
Pm 0.5025 0.5000 0.2500  8 Cd 3.33
Pm 0.0000 0.0000 0.0000  8 Cd 3.31
Pm 0.0000 0.0000 0.5000  8 Cd 3.31
Cd 0.9970 0.2479 0.7500  6 Pm 3.31-3.33, 2 Th 3.33
Cd 0.5000 0.7521 0.5000  6 Pm 3.31-3.33, 2 Th 3.33
Cd 0.9970 0.7521 0.7500  6 Pm 3.31-3.33, 2 Th 3.33
Cd 0.0030 0.2479 0.2500  6 Pm 3.31-3.33, 2 Th 3.33
Cd 0.5000 0.2479 0.5000  6 Pm 3.31-3.33, 2 Th 3.33
Cd 0.5000 0.2479 0.0000  6 Pm 3.31-3.33, 2 Th 3.33
Cd 0.5000 0.7521 0.0000  6 Pm 3.31-3.33, 2 Th 3.33
Cd 0.0030 0.7521 0.2500  6 Pm 3.31-3.33, 2 Th 3.33
Th 0.0000 0.5000 0.5000  8 Cd 3.33
Th 0.0000 0.5000 0.0000  8 Cd 3.33

Energy of formation ... -0.2446 eV per atom
Density of states at the Fermi level ... 21.37 states/eV/cell
Magnetic moment ... 1.18 Bohr magnetons per cell
SG ... Pmma, No. 51
Raw total energy ... -3.411 eV per atom

---

[11]
Entry from the Alexandria database: Ta2CrI after structural relaxation (GGA-PBE).

Cell lengths 5.4029, 5.4029, 7.8801 Å; angles 69.95, 69.95, 90.00 degrees
Last column: nearest neighbours and their distance in Å.
Positions (direct):
Cr 0.5000 0.5000 0.0000  4 Ta 2.34
Cr 0.2500 0.7500 0.5000  4 Ta 2.34
Ta 0.5294 0.1250 0.2500  2 Cr 2.34
Ta 0.2206 0.6250 0.2500  2 Cr 2.34
Ta 0.8750 0.7794 0.7500  2 Cr 2.34
Ta 0.3750 0.4706 0.7500  2 Cr 2.34
I 0.7500 0.2500 0.5000  4 Ta 2.88
I 0.0000 0.0000 0.0000  4 Ta 2.88

Polymorph energy (0 for the lowest one) ... 0.482 eV/atom
Density of states at the Fermi level ... 7.81 states/eV/cell
Formation energy (no corrections) ... 1.46 eV per atom
Magnetic moment ... 0.00 Bohr magnetons per cell
SG ... I-42d, No. 122
Raw total energy ... -7.258 eV per atom

---

[12]
Entry from the Alexandria database: Pm4IrPt after structural relaxation (GGA-PBE).

Cell lengths 4.9567, 4.9610, 7.0303 Å; angles 89.85, 89.91, 90.00 degrees
Last column: nearest neighbours and their distance in Å.
Positions (direct):
Pt 0.5013 0.4973 0.9981  8 Pm 3.05-3.06
Pm 0.0016 0.4979 0.7441  2 Ir 3.02-3.03, 2 Pt 3.05-3.06
Pm 0.5016 0.9979 0.7440  2 Ir 3.02-3.03, 2 Pt 3.06
Pm 0.5010 0.9967 0.2522  2 Ir 3.02-3.03, 2 Pt 3.06
Pm 0.0010 0.4966 0.2522  2 Ir 3.02-3.03, 2 Pt 3.05-3.06
Ir 0.0013 0.9973 0.4981  8 Pm 3.02-3.03

Energy of formation ... -0.6468 eV per atom
Polymorph energy (0 for the lowest one) ... 0.008 eV/atom
Density of states at the Fermi level ... 7.59 states/eV/cell
Magnetic moment ... 0.00 Bohr magnetons per cell
SG ... C2/m, No. 12
Raw total energy ... -6.298 eV per atom